VASP calculation (GGA-PBE) on crystalline YHf2Pd at its relaxed geometry.

- total magnetic moment (μB/cell) = 0.0
- calculated density (g/cm3) = 9.52
- ΔH_f (0 K) (eV/atom) = -0.020

Lattice parameters (Å, degrees): 8.0288 8.0288 6.4156 51.26 51.26 90.00
Positions (direct):
Hf 0.0641 0.6250 0.2500
Hf 0.6859 0.1250 0.2500
Hf 0.8750 0.9359 0.7500
Hf 0.3750 0.3141 0.7500
Pd 0.7500 0.2500 0.5000
Pd 0.0000 0.0000 0.0000
Y 0.2500 0.7500 0.5000
Y 0.5000 0.5000 0.0000